# PBE-GGA RbCuTe, optimized geometry
data_RbCuTe
_cell_length_a 4.5006
_cell_length_b 4.5006
_cell_length_c 5.4544
_cell_angle_alpha 90.00
_cell_angle_beta 90.00
_cell_angle_gamma 120.00
_space_group_name_H-M_alt 'P -6 m 2'
_space_group_IT_number 187
_space_group_name_Hall 'P -6 2'
loop_
_atom_site_label
_atom_site_type_symbol
_atom_site_fract_x
_atom_site_fract_y
_atom_site_fract_z
_atom_site_occupancy
Rb1 Rb 0.0000 0.0000 0.0000 1
Cu1 Cu 0.6667 0.3333 0.5000 1
Te1 Te 0.3333 0.6667 0.5000 1
# **ΔE_f (raw)**: -0.577 eV per atom
# **Energy**: -3.312 eV per atom
# **Spin magnetization**: 0.000 μB/atom